This record from Alexandria via LeMat-Bulk describes Mo2P3O12 after structural relaxation. The functional is GGA+U.

The structure in CIF format:
```
data_Mo2P3O12
_cell_length_a 8.901
_cell_length_b 9.240
_cell_length_c 12.494
_cell_angle_alpha 90.00
_cell_angle_beta 90.00
_cell_angle_gamma 90.00
_symmetry_space_group_name_H-M 'P b c m'
_symmetry_Int_Tables_number 57
loop_
_symmetry_equiv_pos_as_xyz
'x,y,z'
'-x,-y,-z'
'-x,-y,z+1/2'
'x,y,-z+1/2'
'x,-y+1/2,-z'
'-x,y+1/2,z'
'-x,y+1/2,-z+1/2'
'x,-y+1/2,z+1/2'
loop_
_atom_site_label
_atom_site_fract_x
_atom_site_fract_y
_atom_site_fract_z
Mo1 0.245 0.030 0.101
P1 0.034 0.750 0.000
P2 0.401 0.128 0.633
O1 0.065 0.151 0.071
O2 0.130 0.658 0.575
O3 0.207 0.026 0.250
O4 0.301 0.037 0.558
O5 0.344 0.079 0.750
O6 0.380 0.210 0.121
O7 0.432 0.593 0.624
```

Output
Offset from the most stable computed form = 12 meV per atom
Raw total energy = -496.1 eV per cell